A | The following is a PBE-GGA calculation of an optimized crystal structure of Y4NiPt, from Alexandria.

```
Y4NiPt
1.0
0.0000 4.2146 4.2146
4.2146 0.0000 4.2146
4.2146 4.2146 0.0000
Ni Y Pt
1 4 1
Direct
0.7500 0.7500 0.7500 Ni
0.8761 0.3746 0.3746 Y
0.3746 0.3746 0.3746 Y
0.3746 0.8761 0.3746 Y
0.3746 0.3746 0.8761 Y
0.0000 0.0000 0.0000 Pt
```

The space group is No. 216.


B | The following is a PBE-GGA calculation of an optimized crystal structure of Y4NiPt, from Alexandria.

```
Y4NiPt
1.0
-4.4041 2.6281 -4.4306
-4.6269 -5.1477 0.0995
1.1457 4.3893 7.3715
Y Ni Pt
8 2 2
Direct
0.0176 0.2737 0.0475 Y
0.2226 0.8966 0.4505 Y
0.2721 0.4461 0.5495 Y
0.7279 0.5539 0.4505 Y
0.7774 0.1034 0.5495 Y
0.4702 0.2262 0.9525 Y
0.5298 0.7738 0.0475 Y
0.9824 0.7263 0.9525 Y
0.3470 0.5970 0.1940 Ni
0.6530 0.4030 0.8060 Ni
0.8788 0.1288 0.2576 Pt
0.1212 0.8712 0.7424 Pt
```

The space group is No. 15.


Which one is most stable, and which one is least stable? B is the most stable of them, while A is the least stable.